# TmAlCrO4 GGA+U relaxed
# VASP energy in eV/atom: -7.663
data_TmAlCrO4
_chemical_formula_sum 'Tm4 Al4 Cr4 O16'
_symmetry_space_group_name_H-M 'I m m a'
_symmetry_Int_Tables_number 74
_symmetry_space_group_name_Hall '-I 2b 2'
_cell_length_a 6.0559
_cell_length_b 6.2493
_cell_length_c 8.5841
_cell_angle_alpha 90.00
_cell_angle_beta 90.00
_cell_angle_gamma 90.00
loop_
_atom_site_label
_atom_site_type_symbol
_atom_site_fract_x
_atom_site_fract_y
_atom_site_fract_z
_atom_site_occupancy
Tm1 Tm 0.0000 0.0000 0.0000 1
Al1 Al 0.0000 0.2500 0.3775 1
Cr1 Cr 0.2500 0.2500 0.7500 1
O1 O 0.0000 0.0037 0.2608 1
O2 O 0.2413 0.2500 0.4992 1

# Tm2AlCrO6 GGA+U relaxed
# DOS(E_F) in states/eV/cell: 0.0
# VASP energy in eV/atom: -7.860
data_Tm2AlCrO6
_chemical_formula_sum 'Tm2 Al1 Cr1 O6'
_symmetry_space_group_name_H-M 'P 4 m m'
_symmetry_Int_Tables_number 99
_symmetry_space_group_name_Hall 'P 4 -2'
_cell_length_a 5.2406
_cell_length_b 5.2406
_cell_length_c 4.1844
_cell_angle_alpha 90.00
_cell_angle_beta 90.00
_cell_angle_gamma 90.00
loop_
_atom_site_label
_atom_site_type_symbol
_atom_site_fract_x
_atom_site_fract_y
_atom_site_fract_z
_atom_site_occupancy
Tm1 Tm 0.0000 0.5000 0.0000 1
Al1 Al 0.0000 0.0000 0.5857 1
Cr1 Cr 0.5000 0.5000 0.6131 1
O1 O 0.0000 0.0000 0.1583 1
O2 O 0.2421 0.2421 0.6841 1
O3 O 0.5000 0.5000 0.1380 1

# UAlCrO6 GGA+U relaxed
# VASP energy in eV/atom: -8.532
data_UAlCrO6
_chemical_formula_sum 'U2 Al2 Cr2 O12'
_symmetry_space_group_name_H-M 'P -3 1 c'
_symmetry_Int_Tables_number 163
_symmetry_space_group_name_Hall '-P 3 2c'
_cell_length_a 5.0049
_cell_length_b 5.0049
_cell_length_c 9.2441
_cell_angle_alpha 90.00
_cell_angle_beta 90.00
_cell_angle_gamma 120.00
loop_
_atom_site_label
_atom_site_type_symbol
_atom_site_fract_x
_atom_site_fract_y
_atom_site_fract_z
_atom_site_occupancy
U1 U 0.0000 0.0000 0.0000 1
Al1 Al 0.3333 0.6667 0.2500 1
Cr1 Cr 0.3333 0.6667 0.7500 1
O1 O 0.0132 0.3486 0.1342 1

# AlV2CrO6 GGA+U relaxed
# DOS(E_F) in states/eV/cell: 0.0
# VASP energy in eV/atom: -7.842
data_AlV2CrO6
_chemical_formula_sum 'Al3 V6 Cr3 O18'
_symmetry_space_group_name_H-M 'R 3'
_symmetry_Int_Tables_number 146
_symmetry_space_group_name_Hall 'R 3'
_cell_length_a 5.0593
_cell_length_b 5.0593
_cell_length_c 13.7088
_cell_angle_alpha 90.00
_cell_angle_beta 90.00
_cell_angle_gamma 120.00
loop_
_atom_site_label
_atom_site_type_symbol
_atom_site_fract_x
_atom_site_fract_y
_atom_site_fract_z
_atom_site_occupancy
Al1 Al 0.0000 0.0000 0.0000 1
V1 V 0.0000 0.0000 0.2039 1
V2 V 0.0000 0.0000 0.7043 1
Cr1 Cr 0.0000 0.0000 0.5018 1
O1 O 0.0116 0.3020 0.0985 1
O2 O 0.0130 0.6453 0.2693 1

# AlV2CrO8 GGA+U relaxed
# DOS(E_F) in states/eV/cell: 0.0
# VASP energy in eV/atom: -7.505
data_AlV2CrO8
_chemical_formula_sum 'Al1 V2 Cr1 O8'
_symmetry_space_group_name_H-M 'P -3 m 1'
_symmetry_Int_Tables_number 164
_symmetry_space_group_name_Hall '-P 3 2"'
_cell_length_a 5.5762
_cell_length_b 5.5762
_cell_length_c 5.3684
_cell_angle_alpha 90.00
_cell_angle_beta 90.00
_cell_angle_gamma 120.00
loop_
_atom_site_label
_atom_site_type_symbol
_atom_site_fract_x
_atom_site_fract_y
_atom_site_fract_z
_atom_site_occupancy
Al1 Al 0.0000 0.0000 0.0000 1
V1 V 0.3333 0.6667 0.3097 1
Cr1 Cr 0.0000 0.0000 0.5000 1
O1 O 0.1512 0.3024 0.2313 1
O2 O 0.3333 0.6667 0.6108 1

# AlVCr2O6 GGA+U relaxed
# DOS(E_F) in states/eV/cell: 0.0
# VASP energy in eV/atom: -7.832
data_AlVCr2O6
_chemical_formula_sum 'Al3 V3 Cr6 O18'
_symmetry_space_group_name_H-M 'R 3'
_symmetry_Int_Tables_number 146
_symmetry_space_group_name_Hall 'R 3'
_cell_length_a 5.0381
_cell_length_b 5.0381
_cell_length_c 13.6811
_cell_angle_alpha 90.00
_cell_angle_beta 90.00
_cell_angle_gamma 120.00
loop_
_atom_site_label
_atom_site_type_symbol
_atom_site_fract_x
_atom_site_fract_y
_atom_site_fract_z
_atom_site_occupancy
Al1 Al 0.0000 0.0000 0.0000 1
V1 V 0.0000 0.0000 0.5006 1
Cr1 Cr 0.0000 0.0000 0.2996 1
Cr2 Cr 0.0000 0.0000 0.7993 1
O1 O 0.0302 0.3474 0.0641 1
O2 O 0.0398 0.6699 0.5689 1

# AlCrW2O8 GGA+U relaxed
# DOS(E_F) in states/eV/cell: 0.0
# Offset from the most stable computed form in eV/atom: 0.104
data_AlCrW2O8
_chemical_formula_sum 'Al1 Cr1 W2 O8'
_symmetry_space_group_name_H-M 'P 1'
_symmetry_Int_Tables_number 1
_symmetry_space_group_name_Hall 'P 1'
_cell_length_a 5.0502
_cell_length_b 5.8301
_cell_length_c 6.6982
_cell_angle_alpha 68.14
_cell_angle_beta 82.11
_cell_angle_gamma 70.65
loop_
_atom_site_label
_atom_site_type_symbol
_atom_site_fract_x
_atom_site_fract_y
_atom_site_fract_z
_atom_site_occupancy
Al1 Al 0.0000 0.0000 0.0000 1
Cr1 Cr 0.5230 0.6674 0.3432 1
W1 W 0.2509 0.3095 0.1871 1
W2 W 0.8004 0.0298 0.4924 1
O1 O 0.1778 0.2377 0.9552 1
O2 O 0.1857 0.9503 0.3796 1
O3 O 0.2527 0.6789 0.1016 1
O4 O 0.4244 0.2579 0.4664 1
O5 O 0.6949 0.0875 0.1647 1
O6 O 0.7369 0.7232 0.5591 1
O7 O 0.8712 0.3960 0.3067 1
O8 O 0.8781 0.0208 0.7567 1

# AlCrW2O8 GGA+U relaxed
# Offset from the most stable computed form in eV/atom: 0.000
data_AlCrW2O8
_chemical_formula_sum 'Al2 Cr2 W4 O16'
_symmetry_space_group_name_H-M 'P 1 2/c 1'
_symmetry_Int_Tables_number 13
_symmetry_space_group_name_Hall '-P 2yc'
_cell_length_a 5.1041
_cell_length_b 5.5458
_cell_length_c 10.4560
_cell_angle_alpha 90.00
_cell_angle_beta 118.72
_cell_angle_gamma 90.00
loop_
_atom_site_label
_atom_site_type_symbol
_atom_site_fract_x
_atom_site_fract_y
_atom_site_fract_z
_atom_site_occupancy
Al1 Al 0.0000 0.1533 0.2500 1
Cr1 Cr 0.5000 0.1389 0.7500 1
W1 W 0.2523 0.3352 0.0008 1
O1 O 0.2023 0.3845 0.6129 1
O2 O 0.2064 0.1206 0.1395 1
O3 O 0.2697 0.1163 0.8634 1
O4 O 0.2980 0.3758 0.3819 1